Below is a relaxed structure of BeTeIr2, with properties calculated at the PBE-GGA level.

Calculated values
For the magnetization, the calculation gives 0.00 μB/f.u. For the energy above the most stable polymorph in this dataset, the calculation gives 0.2358 eV per atom.

Cell lengths 3.4290, 3.6256, 5.3537 Å; angles 90.00, 108.50, 90.00 degrees
Space group P2/m (No. 10)
One atom of each set of equivalent atoms:
Be (0.0000, 0.0000, 0.0000) [1 per cell]
Te (0.5000, 0.0000, 0.5000) [1 per cell]
Ir (0.1474, 0.5000, 0.7877) [2 per cell]

***

Below is a relaxed structure of Th2BeIr6, with properties calculated at the PBE-GGA level.

Calculated values
For the magnetization, the calculation gives 0.00 μB/f.u. The uncorrected energy is -8.652 eV/atom.

Cell lengths 8.4941, 8.4941, 8.4941 Å; angles 90.00, 90.00, 90.00 degrees
Space group Fm-3m (No. 225)
One atom of each set of equivalent atoms:
Th (0.2500, 0.2500, 0.2500) [8 per cell]
Be (0.0000, 0.0000, 0.0000) [4 per cell]
Ir (0.0000, 0.0000, 0.2625) [24 per cell]

***

Number 1: ρ 13.7 g/cm3. Number 2: ρ 17.6 g/cm3.